AlPt4Br | meta-GGA SCAN | PBEsol geometry

Lattice parameters (Å, degrees): 5.266 5.266 5.266 60.00 60.00 60.00
Fractional coordinates of all 6 atoms:
Al: 0.000 0.000 0.000
Pt: 0.124 0.625 0.625
Pt: 0.625 0.124 0.625
Pt: 0.625 0.625 0.124
Pt: 0.625 0.625 0.625
Br: 0.250 0.250 0.250

**E_form (uncorrected)**: 0.29 eV/atom
**Energy**: -306.2 eV per formula unit
**Mass density**: 14.3 Mg/m³
**SG**: F-43m (216)